# KNaReIr (PBE, optimized geometry)
data_KNaReIr
_chemical_formula_sum 'K4 Na4 Re4 Ir4'
_cell_length_a 6.955
_cell_length_b 6.955
_cell_length_c 6.955
_cell_angle_alpha 90.00
_cell_angle_beta 90.00
_cell_angle_gamma 90.00
_space_group_name_H-M_alt 'P 1'
_space_group_IT_number 1
loop_
_space_group_symop_operation_xyz
'x,y,z'
loop_
_atom_site_label
_atom_site_type_symbol
_atom_site_fract_x
_atom_site_fract_y
_atom_site_fract_z
K1 K 0.000 0.000 0.000
K2 K 0.000 0.500 0.500
K3 K 0.500 0.000 0.500
K4 K 0.500 0.500 0.000
Na1 Na 0.000 0.000 0.500
Na2 Na 0.000 0.500 0.000
Na3 Na 0.500 0.000 0.000
Na4 Na 0.500 0.500 0.500
Re1 Re 0.250 0.250 0.750
Re2 Re 0.250 0.750 0.250
Re3 Re 0.750 0.250 0.250
Re4 Re 0.750 0.750 0.750
Ir1 Ir 0.250 0.250 0.250
Ir2 Ir 0.250 0.750 0.750
Ir3 Ir 0.750 0.250 0.750
Ir4 Ir 0.750 0.750 0.250
# calculated volume = 336.36 Å³ per cell
# magnetization = 3.76 μB per formula unit
# energy relative to the lowest polymorph listed for this composition = 746 meV/atom